Compound: La3CePm2Sb6
Source: the Alexandria database
Functional: PBE
Structure: optimized geometry

Cell lengths 7.8972, 7.8972, 7.9071 Å; angles 99.58, 99.58, 120.00 degrees
Last column: nearest neighbours and their distance in Å.
Fractional positions:
La  0.0000  0.0000  0.0000  6 Sb 3.25-3.27
La  0.3329  0.6671  0.0000  6 Sb 3.25-3.26
La  0.6671  0.3329  0.0000  6 Sb 3.25-3.26
Ce  0.5000  0.5000  0.5000  6 Sb 3.18
Pm  0.1664  0.8336  0.5000  6 Sb 3.20
Pm  0.8336  0.1664  0.5000  6 Sb 3.20
Sb  0.0874  0.4192  0.2573  1 Ce 3.18, 2 Pm 3.20, 3 La 3.25-3.26
Sb  0.2493  0.2493  0.7429  1 Ce 3.18, 2 Pm 3.20, 3 La 3.26-3.27
Sb  0.4192  0.0874  0.2573  1 Ce 3.18, 2 Pm 3.20, 3 La 3.25-3.26
Sb  0.5808  0.9126  0.7427  1 Ce 3.18, 2 Pm 3.20, 3 La 3.25-3.26
Sb  0.7507  0.7507  0.2571  1 Ce 3.18, 2 Pm 3.20, 3 La 3.26-3.27
Sb  0.9126  0.5808  0.7427  1 Ce 3.18, 2 Pm 3.20, 3 La 3.25-3.26

Values from the calculation:
- symmetry = No. 12
- ρ (g/cm3) = 6.50
- calculated volume (Å³ per cell) = 403
- magnetic moment (μB per cell) = 0.6
- DOS(E_F) (states/eV/cell) = 6.35

Compound: LaCePm2Sb4
Source: the Alexandria database
Functional: PBE
Structure: optimized geometry

Cell lengths 7.8391, 4.5253, 7.8492 Å; angles 90.00, 109.40, 90.00 degrees
Last column: nearest neighbours and their distance in Å.
Fractional positions:
La  0.0000  0.0000  0.0000  6 Sb 3.23
Ce  0.0000  0.5000  0.5000  6 Sb 3.19-3.20
Pm  0.5000  0.0000  0.5000  6 Sb 3.17-3.18
Pm  0.5000  0.5000  0.0000  6 Sb 3.21
Sb  0.2512  0.0000  0.7469  3 Pm 3.17-3.21, 2 Ce 3.20, 1 La 3.23
Sb  0.2534  0.5000  0.2551  3 Pm 3.18-3.21, 1 Ce 3.19, 2 La 3.23
Sb  0.7466  0.5000  0.7449  3 Pm 3.18-3.21, 1 Ce 3.19, 2 La 3.23
Sb  0.7488  0.0000  0.2531  3 Pm 3.17-3.21, 2 Ce 3.20, 1 La 3.23

Values from the calculation:
- symmetry = No. 10
- ρ (g/cm3) = 6.68
- calculated volume (Å³ per cell) = 263
- magnetic moment (μB per cell) = 0.7
- DOS(E_F) (states/eV/cell) = 7.68

Compound: LaCe2PmSb4
Source: the Alexandria database
Functional: PBE
Structure: optimized geometry

Cell lengths 7.8482, 4.5294, 7.8488 Å; angles 90.00, 109.44, 90.00 degrees
Last column: nearest neighbours and their distance in Å.
Fractional positions:
La  0.0000  0.0000  0.0000  6 Sb 3.24
Ce  0.0000  0.5000  0.5000  6 Sb 3.20
Ce  0.5000  0.0000  0.5000  6 Sb 3.17
Pm  0.5000  0.5000  0.0000  6 Sb 3.21
Sb  0.2520  0.0000  0.7467  3 Ce 3.17-3.20, 2 Pm 3.21, 1 La 3.24
Sb  0.2551  0.5000  0.2557  3 Ce 3.17-3.20, 1 Pm 3.21, 2 La 3.24
Sb  0.7449  0.5000  0.7443  3 Ce 3.17-3.20, 1 Pm 3.21, 2 La 3.24
Sb  0.7480  0.0000  0.2533  3 Ce 3.17-3.20, 2 Pm 3.21, 1 La 3.24

Values from the calculation:
- symmetry = No. 10
- ρ (g/cm3) = 6.63
- calculated volume (Å³ per cell) = 263
- magnetic moment (μB per cell) = 1.5
- DOS(E_F) (states/eV/cell) = 12.88

Compound: LaCePm2Se4
Source: the Alexandria database
Functional: PBE
Structure: optimized geometry

Cell lengths 8.4565, 8.4565, 8.4565 Å; angles 120.02, 119.96, 90.02 degrees
Last column: nearest neighbours and their distance in Å.
Fractional positions:
La  0.0000  0.0000  0.0000  6 Se 3.02
La  0.5000  0.0000  0.5000  6 Se 3.02
Ce  0.5000  0.0000  0.0000  6 Se 2.99
Ce  0.5000  0.5000  0.5000  6 Se 2.99
Pm  0.0000  0.0000  0.5000  6 Se 2.99
Pm  0.0000  0.5000  0.0000  6 Se 2.99
Pm  0.0000  0.5000  0.5000  6 Se 2.96
Pm  0.5000  0.5000  0.0000  6 Se 2.96
Se  0.2471  0.7474  0.4996  3 Pm 2.96-2.99, 2 Ce 2.99, 1 La 3.02
Se  0.2499  0.2550  0.5051  3 Pm 2.96-2.99, 1 Ce 2.99, 2 La 3.02
Se  0.2499  0.7448  0.9949  3 Pm 2.96-2.99, 1 Ce 2.99, 2 La 3.02
Se  0.2522  0.2526  0.9996  3 Pm 2.96-2.99, 2 Ce 2.99, 1 La 3.02
Se  0.7478  0.7474  0.0004  3 Pm 2.96-2.99, 2 Ce 2.99, 1 La 3.02
Se  0.7501  0.2552  0.0051  3 Pm 2.96-2.99, 1 Ce 2.99, 2 La 3.02
Se  0.7501  0.7450  0.4949  3 Pm 2.96-2.99, 1 Ce 2.99, 2 La 3.02
Se  0.7529  0.2526  0.5004  3 Pm 2.96-2.99, 2 Ce 2.99, 1 La 3.02

Values from the calculation:
- symmetry = No. 74
- ρ (g/cm3) = 6.87
- calculated volume (Å³ per cell) = 428
- magnetic moment (μB per cell) = 2.0
- DOS(E_F) (states/eV/cell) = 18.40

Compound: La3CePm3Se8
Source: the Alexandria database
Functional: PBE
Structure: optimized geometry

Cell lengths 8.5253, 8.5253, 8.5253 Å; angles 59.46, 59.46, 59.46 degrees
Last column: nearest neighbours and their distance in Å.
Fractional positions:
La  0.0000  0.5000  0.5000  6 Se 3.03
La  0.5000  0.0000  0.5000  6 Se 3.03
La  0.5000  0.5000  0.0000  6 Se 3.03
Ce  0.5000  0.5000  0.5000  6 Se 3.01
Pm  0.0000  0.0000  0.5000  6 Se 2.97
Pm  0.0000  0.5000  0.0000  6 Se 2.97
Pm  0.5000  0.0000  0.0000  6 Se 2.97
Se  0.2440  0.7507  0.7507  2 Pm 2.97, 1 Ce 3.01, 2 La 3.03
Se  0.2476  0.2476  0.2476  3 Pm 2.97, 3 La 3.03
Se  0.2493  0.2493  0.7560  2 Pm 2.97, 1 Ce 3.01, 2 La 3.03
Se  0.2493  0.7560  0.2493  2 Pm 2.97, 1 Ce 3.01, 2 La 3.03
Se  0.7507  0.2440  0.7507  2 Pm 2.97, 1 Ce 3.01, 2 La 3.03
Se  0.7507  0.7507  0.2440  2 Pm 2.97, 1 Ce 3.01, 2 La 3.03
Se  0.7524  0.7524  0.7524  3 Pm 2.97, 3 La 3.03
Se  0.7560  0.2493  0.2493  2 Pm 2.97, 1 Ce 3.01, 2 La 3.03

Values from the calculation:
- symmetry = No. 166
- ρ (g/cm3) = 6.23
- calculated volume (Å³ per cell) = 433
- magnetic moment (μB per cell) = 1.5
- DOS(E_F) (states/eV/cell) = 13.91

Compound: La2CePm3Se6
Source: the Alexandria database
Functional: PBE
Structure: optimized geometry

Cell lengths 9.4704, 9.4704, 8.5093 Å; angles 102.91, 102.91, 25.79 degrees
Last column: nearest neighbours and their distance in Å.
Fractional positions:
La  0.1656  0.1656  0.3318  6 Se 3.02-3.04
La  0.8344  0.8344  0.6682  6 Se 3.02-3.04
Ce  0.5000  0.5000  0.0000  6 Se 2.99-3.00
Pm  0.1677  0.1677  0.8352  6 Se 2.96-2.98
Pm  0.5000  0.5000  0.5000  6 Se 2.97-2.99
Pm  0.8323  0.8323  0.1648  6 Se 2.96-2.98
Se  0.0026  0.0026  0.7504  3 Pm 2.97-2.99, 2 Ce 3.00, 1 La 3.02
Se  0.3336  0.3336  0.9217  3 Pm 2.96-2.98, 1 Ce 2.99, 2 La 3.02
Se  0.3346  0.3346  0.4120  3 Pm 2.97-2.98, 3 La 3.04
Se  0.6654  0.6654  0.5880  3 Pm 2.97-2.98, 3 La 3.04
Se  0.6664  0.6664  0.0783  3 Pm 2.96-2.98, 1 Ce 2.99, 2 La 3.02
Se  0.9974  0.9974  0.2496  3 Pm 2.97-2.99, 2 Ce 3.00, 1 La 3.02

Values from the calculation:
- symmetry = No. 12
- ρ (g/cm3) = 6.82
- calculated volume (Å³ per cell) = 323
- magnetic moment (μB per cell) = 1.2
- DOS(E_F) (states/eV/cell) = 11.71

Compound: LaCePm4Se8
Source: the Alexandria database
Functional: PBE
Structure: optimized geometry

Cell lengths 8.7100, 8.7100, 8.7100 Å; angles 59.83, 59.83, 59.83 degrees
Last column: nearest neighbours and their distance in Å.
Fractional positions:
La  0.0000  0.0000  0.0000  4 Se 2.87-2.88
Ce  0.6238  0.6238  0.6238  6 Se 2.99-3.00
Pm  0.1273  0.6239  0.6239  6 Se 2.96-2.98
Pm  0.2497  0.2497  0.2497  4 Se 2.81-2.82
Pm  0.6239  0.1273  0.6239  6 Se 2.96-2.98
Pm  0.6239  0.6239  0.1273  6 Se 2.96-2.98
Se  0.3802  0.3802  0.8541  3 Pm 2.81-2.97, 1 Ce 3.00
Se  0.3802  0.8541  0.3802  3 Pm 2.81-2.97, 1 Ce 3.00
Se  0.3817  0.3817  0.3817  4 Pm 2.82-2.98
Se  0.4041  0.8661  0.8661  1 La 2.87, 2 Pm 2.96, 1 Ce 2.99
Se  0.8541  0.3802  0.3802  3 Pm 2.81-2.97, 1 Ce 3.00
Se  0.8651  0.8651  0.8651  1 La 2.88, 3 Pm 2.97
Se  0.8661  0.4041  0.8661  1 La 2.87, 2 Pm 2.96, 1 Ce 2.99
Se  0.8661  0.8661  0.4041  1 La 2.87, 2 Pm 2.96, 1 Ce 2.99

Values from the calculation:
- symmetry = No. 160
- ρ (g/cm3) = 5.32
- calculated volume (Å³ per cell) = 465
- magnetic moment (μB per cell) = 1.8
- DOS(E_F) (states/eV/cell) = 13.49

Compound: La3Ce2PmSe6
Source: the Alexandria database
Functional: PBE
Structure: optimized geometry

Cell lengths 7.3657, 7.3657, 7.4003 Å; angles 99.57, 99.57, 120.05 degrees
Last column: nearest neighbours and their distance in Å.
Fractional positions:
La  0.0000  0.0000  0.0000  6 Se 3.04
La  0.3343  0.6657  0.0000  6 Se 3.03-3.05
La  0.6657  0.3343  0.0000  6 Se 3.03-3.05
Ce  0.1665  0.8335  0.5000  6 Se 2.98
Ce  0.8335  0.1665  0.5000  6 Se 2.98
Pm  0.5000  0.5000  0.5000  6 Se 2.98
Se  0.0856  0.4191  0.2571  1 Pm 2.98, 2 Ce 2.98, 3 La 3.04-3.05
Se  0.2473  0.2473  0.7421  2 Ce 2.98, 1 Pm 2.98, 3 La 3.03-3.04
Se  0.4191  0.0856  0.2571  1 Pm 2.98, 2 Ce 2.98, 3 La 3.04-3.05
Se  0.5809  0.9144  0.7429  1 Pm 2.98, 2 Ce 2.98, 3 La 3.04-3.05
Se  0.7527  0.7527  0.2579  2 Ce 2.98, 1 Pm 2.98, 3 La 3.03-3.04
Se  0.9144  0.5809  0.7429  1 Pm 2.98, 2 Ce 2.98, 3 La 3.04-3.05

Values from the calculation:
- symmetry = No. 12
- ρ (g/cm3) = 6.67
- calculated volume (Å³ per cell) = 328
- magnetic moment (μB per cell) = 1.9
- DOS(E_F) (states/eV/cell) = 15.87

Asked for formation energy without anion corrections across the records above, the calculation gives -1212 -1174 -1138 -1875 -1918 -1891 -1741 -1914 meV/atom in order.